The following is a DFT calculation (PBE+U) of a geometry-optimized NaMn2BiO4 structure.

total DFT energy (no corrections) = -6.406 eV/atom

abc: 6.1963 6.1963 6.1963
angles: 131.69 131.69 70.73
Atoms (fractional coordinates):
Na 0.0000 0.0000 0.0000
Mn 0.2500 0.7500 0.5000
Mn 0.7500 0.2500 0.5000
Bi 0.5000 0.5000 0.0000
O 0.1150 0.6046 0.0000
O 0.3954 0.3954 0.5104
O 0.6046 0.1150 0.0000
O 0.8850 0.8850 0.4896